(1)
DFT (PBE-GGA) results for crystalline HfGeW at its relaxed geometry.

Cell and atoms, written as POSCAR:
```
HfGeW
1.0
-2.964 1.722 -6.273
-4.144 -1.233 5.693
0.163 3.395 0.854
Ge W Hf
3 3 3
direct
0.000 0.000 0.500
0.667 0.333 0.000
0.333 0.667 0.000
0.260 0.260 0.000
0.740 0.000 0.000
0.000 0.740 0.000
0.000 0.397 0.500
0.603 0.603 0.500
0.397 0.000 0.500
```

Values from the calculation:
Final energy (eV for the cell shown): -85.5
Symmetry: P-62m

(2)
DFT (PBE-GGA) results for crystalline HfGeW2 at its relaxed geometry.

Cell and atoms, written as POSCAR:
```
HfGeW2
1.0
0.000 3.236 3.236
3.236 0.000 3.236
3.236 3.236 0.000
W Hf Ge
2 1 1
direct
0.000 0.000 0.000
0.750 0.750 0.750
0.250 0.250 0.250
0.500 0.500 0.500
```

Values from the calculation:
Final energy (eV for the cell shown): -39.7
Symmetry: F-43m

(3)
DFT (PBE-GGA) results for crystalline HfGeW at its relaxed geometry.

Cell and atoms, written as POSCAR:
```
HfGeW
1.0
0.000 3.076 3.076
3.076 0.000 3.076
3.076 3.076 0.000
Ge W Hf
1 1 1
direct
0.000 0.000 0.000
0.750 0.750 0.750
0.250 0.250 0.250
```

Values from the calculation:
Final energy (eV for the cell shown): -26.8
Symmetry: F-43m

(4)
DFT (PBE-GGA) results for crystalline HfGe2W2 at its relaxed geometry.

Cell and atoms, written as POSCAR:
```
HfGe2W2
1.0
-1.967 1.967 5.658
1.967 -1.967 5.658
1.967 1.967 -5.658
W Ge Hf
2 2 1
direct
0.750 0.250 0.500
0.250 0.750 0.500
0.396 0.396 0.000
0.604 0.604 0.000
0.000 0.000 0.000
```

Values from the calculation:
Offset from the most stable computed form (eV/atom): 0.118
Final energy (eV for the cell shown): -44.4
Symmetry: I4/mmm

(5)
DFT (PBE-GGA) results for crystalline YHfGe2 at its relaxed geometry.

Cell and atoms, written as POSCAR:
```
YHfGe2
1.0
0.533 -4.207 2.526
-3.447 -1.380 3.252
-2.919 -3.857 -0.985
Ge Y Hf
2 1 1
direct
0.000 0.000 0.000
0.250 0.250 0.250
0.750 0.750 0.750
0.500 0.500 0.500
```

Values from the calculation:
Final energy (eV for the cell shown): -25.0
Symmetry: F-43m

(6)
DFT (PBE-GGA) results for crystalline Y2HfGe at its relaxed geometry.

Cell and atoms, written as POSCAR:
```
Y2HfGe
1.0
-0.655 -4.778 1.638
-3.853 -2.803 -1.799
0.939 -3.913 -3.121
Ge Y Hf
1 2 1
direct
0.500 0.500 0.500
0.750 0.750 0.750
0.000 0.000 0.000
0.250 0.250 0.250
```

Values from the calculation:
Final energy (eV for the cell shown): -27.4
Symmetry: F-43m

(7)
DFT (PBE-GGA) results for crystalline YHf2Ge2 at its relaxed geometry.

Cell and atoms, written as POSCAR:
```
YHf2Ge2
1.0
-5.268 1.931 3.809
-3.235 5.959 -0.089
2.374 -4.995 -3.924
Hf Y Ge
2 1 2
direct
0.750 0.250 0.500
0.250 0.750 0.500
0.000 0.000 0.000
0.603 0.603 0.000
0.397 0.397 0.000
```

Values from the calculation:
Final energy (eV for the cell shown): -38.5
Symmetry: I4/mmm

(8)
DFT (PBE-GGA) results for crystalline Hf2ZnGe at its relaxed geometry.

Cell and atoms, written as POSCAR:
```
Hf2ZnGe
1.0
0.000 3.354 3.354
3.354 0.000 3.354
3.354 3.354 0.000
Hf Zn Ge
2 1 1
direct
0.000 0.000 0.000
0.750 0.750 0.750
0.250 0.250 0.250
0.500 0.500 0.500
```

Values from the calculation:
Final energy (eV for the cell shown): -24.6
Symmetry: F-43m

(9)
DFT (PBE-GGA) results for crystalline HfZn2Ge at its relaxed geometry.

Cell and atoms, written as POSCAR:
```
HfZn2Ge
1.0
-0.352 2.220 4.043
-3.225 -1.270 3.062
1.240 -2.121 3.919
Zn Ge Hf
2 1 1
direct
0.750 0.750 0.750
0.000 0.000 0.000
0.500 0.500 0.500
0.250 0.250 0.250
```

Values from the calculation:
Final energy (eV for the cell shown): -16.8
Symmetry: F-43m

(10)
DFT (PBE-GGA) results for crystalline HfZnGe2 at its relaxed geometry.

Cell and atoms, written as POSCAR:
```
HfZnGe2
1.0
-3.724 -2.762 -0.852
-3.961 0.549 2.495
-3.846 1.796 -2.049
Zn Ge Hf
1 2 1
direct
0.750 0.750 0.750
0.250 0.250 0.250
0.000 0.000 0.000
0.500 0.500 0.500
```

Values from the calculation:
Final energy (eV for the cell shown): -19.7
Symmetry: F-43m

(11)
DFT (PBE-GGA) results for crystalline Hf2ZrGe2 at its relaxed geometry.

Cell and atoms, written as POSCAR:
```
Hf2ZrGe2
1.0
7.190 0.000 0.000
0.000 7.190 0.000
0.000 0.000 3.711
Zr Ge Hf
2 4 4
direct
0.500 0.500 0.000
0.000 0.000 0.000
0.871 0.371 0.000
0.129 0.629 0.000
0.371 0.129 0.000
0.629 0.871 0.000
0.829 0.671 0.500
0.329 0.829 0.500
0.171 0.329 0.500
0.671 0.171 0.500
```

Values from the calculation:
Offset from the most stable computed form (eV/atom): 0.000
Final energy (eV for the cell shown): -82.7
Symmetry: P4/mbm

(12)
DFT (PBE-GGA) results for crystalline HfZr2Ge2 at its relaxed geometry.

Cell and atoms, written as POSCAR:
```
HfZr2Ge2
1.0
-5.865 -2.052 3.628
2.380 -6.790 0.006
1.777 0.626 3.227
Zr Ge Hf
4 4 2
direct
0.330 0.170 0.500
0.830 0.330 0.500
0.170 0.670 0.500
0.670 0.830 0.500
0.370 0.870 0.000
0.130 0.370 0.000
0.870 0.630 0.000
0.630 0.130 0.000
0.500 0.500 0.000
0.000 0.000 0.000
```

Values from the calculation:
Offset from the most stable computed form (eV/atom): 0.000
Final energy (eV for the cell shown): -80.5
Symmetry: P4/mbm